Compound: Ca3YIn12
Source: Alexandria
Functional: GGA-PBE
Structure: optimized geometry

Computed properties:
The total energy is -3.176 eV/atom. The formation energy comes out at -0.3430 eV per atom. For the magnetization, the calculation gives 0.0 Bohr magnetons per cell.

Unit cell a=4.7231 b=4.7231 c=18.6383 alpha=90.00 beta=90.00 gamma=90.00
Last column: nearest neighbours and their distance in Å.
Space group P4/mmm (No. 123)
One atom of each set of equivalent atoms:
Ca 0.0000 0.0000 0.0000 [1 per cell]  12 In 3.32-3.34
Ca 0.0000 0.0000 0.2515 [2 per cell]  12 In 3.32-3.34
Y 0.0000 0.0000 0.5000 [1 per cell]  12 In 3.30-3.34
In 0.0000 0.5000 0.1255 [4 per cell]  8 In 3.32-3.34, 4 Ca 3.32-3.33
In 0.0000 0.5000 0.3763 [4 per cell]  8 In 3.30-3.34, 2 Y 3.30, 2 Ca 3.32
In 0.5000 0.5000 0.0000 [1 per cell]  8 In 3.32, 4 Ca 3.34
In 0.5000 0.5000 0.2511 [2 per cell]  8 In 3.32, 4 Ca 3.34
In 0.5000 0.5000 0.5000 [1 per cell]  8 In 3.30, 4 Y 3.34



Compound: Ca2YIn9
Source: Alexandria
Functional: GGA-PBE
Structure: optimized geometry

Computed properties:
The total energy is -3.285 eV/atom. The formation energy comes out at -0.3590 eV per atom. For the magnetization, the calculation gives 0.0 Bohr magnetons per cell.

Unit cell a=4.6915 b=4.6915 c=14.1157 alpha=90.00 beta=90.00 gamma=90.00
Last column: nearest neighbours and their distance in Å.
Space group P4/mmm (No. 123)
One atom of each set of equivalent atoms:
Ca 0.0000 0.0000 0.1679 [2 per cell]  12 In 3.32-3.33
Y 0.0000 0.0000 0.5000 [1 per cell]  12 In 3.31-3.32
In 0.0000 0.5000 0.0000 [2 per cell]  8 In 3.32, 4 Ca 3.33
In 0.0000 0.5000 0.3346 [4 per cell]  8 In 3.31-3.33, 2 Y 3.31, 2 Ca 3.32
In 0.5000 0.5000 0.1667 [2 per cell]  4 Ca 3.32, 8 In 3.32-3.33
In 0.5000 0.5000 0.5000 [1 per cell]  8 In 3.31, 4 Y 3.32



Q: What is the magnetization in the first record?
A: 0.0 Bohr magnetons per cell



Q: Among the records above, which one has the lowest formation energy?
A: Ca2YIn9